Compound: CeAl4Ni15
Source: Alexandria via LeMat-Bulk
Functional: PBE
Structure: relaxed

```
CeAl4Ni15
1.0
3.671 0.000 0.000
0.000 3.671 0.000
0.000 0.000 17.696
Ce Al Ni
1 4 15
direct
0.000 0.000 0.000
0.000 0.000 0.212
0.000 0.000 0.404
0.000 0.000 0.596
0.000 0.000 0.788
0.000 0.500 0.114
0.000 0.500 0.307
0.000 0.500 0.500
0.000 0.500 0.693
0.000 0.500 0.886
0.500 0.000 0.114
0.500 0.000 0.307
0.500 0.000 0.500
0.500 0.000 0.693
0.500 0.000 0.886
0.500 0.500 0.000
0.500 0.500 0.210
0.500 0.500 0.404
0.500 0.500 0.596
0.500 0.500 0.790
```

Summary:
- Energy of formation from the pure elements: -390 meV per atom
- Total magnetization: 2.21 μB per formula unit
- VASP energy: -0.21207 hartree per atom
- D(E_F): 20.95 states/eV/cell
- Crystal system: tetragonal
- Symmetry: P4/mmm

Compound: CeAlNi2
Source: Alexandria via LeMat-Bulk
Functional: PBE
Structure: relaxed

```
CeAlNi2
1.0
2.970 0.000 0.000
0.000 2.970 0.000
0.000 0.000 6.929
Ce Al Ni
1 1 2
direct
0.000 0.000 0.000
0.000 0.000 0.500
0.500 0.500 0.304
0.500 0.500 0.696
```

Summary:
- Energy of formation from the pure elements: -421 meV per atom
- Total magnetization: 0.00 μB per formula unit
- VASP energy: -0.21060 hartree per atom
- D(E_F): 3.95 states/eV/cell
- Crystal system: tetragonal
- Symmetry: P4/mmm

Compound: CeAlNi
Source: Alexandria via LeMat-Bulk
Functional: PBE
Structure: relaxed

```
CeAlNi
1.0
4.397 0.000 0.000
-2.199 3.808 0.000
0.000 0.000 3.474
Ce Al Ni
1 1 1
direct
0.000 0.000 0.000
0.667 0.333 0.500
0.333 0.667 0.500
```

Summary:
- Energy of formation from the pure elements: -406 meV per atom
- Total magnetization: 0.00 μB per formula unit
- VASP energy: -0.20429 hartree per atom
- D(E_F): 4.01 states/eV/cell
- Crystal system: hexagonal
- Symmetry: P-6m2